(1)
! PBE-GGA LaAs2PtSe, optimized geometry; values from VASP
! * symmetry: P4/mmm, No. 123
! * uncorrected formation energy: -0.4466 eV per atom
! * M_tot: 0.00 Bohr magnetons per cell
! * polymorph energy (0 for the lowest one): 0 meV per atom
&SYSTEM
  ibrav = 0, nat = 5, ntyp = 4
/
ATOMIC_SPECIES
As 74.92 As.upf
Se 78.96 Se.upf
Pt 195.08 Pt.upf
La 138.91 La.upf
ATOMIC_POSITIONS crystal
As 0.000 0.500 0.000
As 0.500 0.000 0.000
Se 0.000 0.000 0.500
Pt 0.000 0.000 0.000
La 0.500 0.500 0.500
CELL_PARAMETERS angstrom
4.870 0.000 0.000
0.000 4.870 0.000
0.000 0.000 5.208

---

(2)
! PBE-GGA LaAs2PtSe, optimized geometry; values from VASP
! * symmetry: P4/mmm, No. 123
! * uncorrected formation energy: 1.0036 eV per atom
! * M_tot: 0.00 Bohr magnetons per cell
! * polymorph energy (0 for the lowest one): 1450 meV per atom
&SYSTEM
  ibrav = 0, nat = 5, ntyp = 4
/
ATOMIC_SPECIES
As 74.92 As.upf
Se 78.96 Se.upf
Pt 195.08 Pt.upf
La 138.91 La.upf
ATOMIC_POSITIONS crystal
As 0.000 0.500 0.000
As 0.500 0.000 0.000
Se 0.000 0.000 0.500
Pt 0.500 0.500 0.500
La 0.000 0.000 0.000
CELL_PARAMETERS angstrom
-1.086 -5.476 -1.096
0.706 -1.242 5.507
-5.403 0.893 0.894

---

(3)
! PBE-GGA La2SmAs3Pt4, optimized geometry; values from VASP
! * symmetry: P-4m2, No. 115
! * ΔH_f (0 K): -0.99 eV/atom
! * M_tot: 0.00 Bohr magnetons per cell
&SYSTEM
  ibrav = 0, nat = 10, ntyp = 4
/
ATOMIC_SPECIES
La 138.91 La.upf
Sm 150.36 Sm.upf
As 74.92 As.upf
Pt 195.08 Pt.upf
ATOMIC_POSITIONS crystal
La 0.500 0.000 0.215
La 0.000 0.500 0.785
Sm 0.500 0.500 0.500
As 0.000 0.000 0.500
As 0.500 0.000 0.876
As 0.000 0.500 0.124
Pt 0.500 0.500 0.000
Pt 0.000 0.000 0.000
Pt 0.500 0.000 0.660
Pt 0.000 0.500 0.340
CELL_PARAMETERS angstrom
-0.423 2.803 3.322
-4.346 -0.202 -0.383
-0.240 -8.711 7.318

---

(4)
! PBE-GGA La3SnAs2Pt9, optimized geometry; values from VASP
! * symmetry: P-3m1, No. 164
! * ΔH_f (0 K): -0.63 eV/atom
! * M_tot: 0.00 Bohr magnetons per cell
&SYSTEM
  ibrav = 0, nat = 15, ntyp = 4
/
ATOMIC_SPECIES
La 138.91 La.upf
Sn 118.71 Sn.upf
As 74.92 As.upf
Pt 195.08 Pt.upf
ATOMIC_POSITIONS crystal
La 0.333 0.667 0.736
La 0.000 0.000 0.000
La 0.667 0.333 0.264
Sn 0.000 0.000 0.500
As 0.333 0.667 0.181
As 0.667 0.333 0.819
Pt 0.860 0.140 0.727
Pt 0.860 0.719 0.727
Pt 0.281 0.140 0.727
Pt 0.719 0.860 0.273
Pt 0.140 0.281 0.273
Pt 0.140 0.860 0.273
Pt 0.500 0.000 0.000
Pt 0.000 0.500 0.000
Pt 0.500 0.500 0.000
CELL_PARAMETERS angstrom
-5.570 0.366 -3.527
5.815 -0.620 -3.067
-0.820 -9.318 0.328

---

(5)
! PBE-GGA La2SnAs3Pt4, optimized geometry; values from VASP
! * symmetry: P-4m2, No. 115
! * ΔH_f (0 K): -0.92 eV/atom
! * M_tot: 0.00 Bohr magnetons per cell
&SYSTEM
  ibrav = 0, nat = 10, ntyp = 4
/
ATOMIC_SPECIES
La 138.91 La.upf
Sn 118.71 Sn.upf
As 74.92 As.upf
Pt 195.08 Pt.upf
ATOMIC_POSITIONS crystal
La 0.500 0.000 0.233
La 0.000 0.500 0.767
Sn 0.500 0.500 0.500
As 0.000 0.000 0.500
As 0.500 0.000 0.872
As 0.000 0.500 0.128
Pt 0.500 0.500 0.000
Pt 0.000 0.000 0.000
Pt 0.500 0.000 0.641
Pt 0.000 0.500 0.359
CELL_PARAMETERS angstrom
-4.359 0.651 0.513
-0.828 -3.568 -2.503
0.110 -6.105 8.666

---

(6)
! PBE-GGA La2TbAs3Pt4, optimized geometry; values from VASP
! * symmetry: P-4m2, No. 115
! * ΔH_f (0 K): -1.01 eV/atom
! * M_tot: 0.00 Bohr magnetons per cell
&SYSTEM
  ibrav = 0, nat = 10, ntyp = 4
/
ATOMIC_SPECIES
La 138.91 La.upf
Tb 158.93 Tb.upf
As 74.92 As.upf
Pt 195.08 Pt.upf
ATOMIC_POSITIONS crystal
La 0.500 0.000 0.217
La 0.000 0.500 0.783
Tb 0.500 0.500 0.500
As 0.000 0.000 0.500
As 0.500 0.000 0.874
As 0.000 0.500 0.126
Pt 0.500 0.500 0.000
Pt 0.000 0.000 0.000
Pt 0.500 0.000 0.656
Pt 0.000 0.500 0.344
CELL_PARAMETERS angstrom
4.352 0.000 0.000
0.000 4.352 0.000
0.000 0.000 11.316

---

(7)
! PBE-GGA La8Te4As3Pt, optimized geometry; values from VASP
! * symmetry: R-3m, No. 166
! * uncorrected formation energy: -1.5566 eV per atom
! * M_tot: 0.01 Bohr magnetons per cell
&SYSTEM
  ibrav = 0, nat = 16, ntyp = 4
/
ATOMIC_SPECIES
La 138.91 La.upf
Te 127.60 Te.upf
As 74.92 As.upf
Pt 195.08 Pt.upf
ATOMIC_POSITIONS crystal
La 0.239 0.723 0.984
La 0.240 0.723 0.479
La 0.259 0.276 0.517
La 0.745 0.723 0.984
La 0.255 0.277 0.016
La 0.741 0.724 0.483
La 0.760 0.277 0.521
La 0.761 0.277 0.016
Te 0.500 0.000 0.000
Te 0.500 0.000 0.500
Te 0.000 0.000 0.000
Te 0.000 0.000 0.500
As 0.500 0.500 0.000
As 0.500 0.500 0.500
As 0.000 0.500 0.500
Pt 0.000 0.500 0.000
CELL_PARAMETERS angstrom
8.880 0.000 0.000
0.000 9.016 0.088
-4.440 -4.436 6.284

---

(8)
! PBE-GGA La2TiAs4Pt3, optimized geometry; values from VASP
! * symmetry: P-4m2, No. 115
! * ΔH_f (0 K): -0.97 eV/atom
! * M_tot: 1.19 Bohr magnetons per cell
&SYSTEM
  ibrav = 0, nat = 10, ntyp = 4
/
ATOMIC_SPECIES
La 138.91 La.upf
Ti 47.87 Ti.upf
As 74.92 As.upf
Pt 195.08 Pt.upf
ATOMIC_POSITIONS crystal
La 0.500 0.000 0.237
La 0.000 0.500 0.763
Ti 0.500 0.500 0.500
As 0.500 0.500 0.000
As 0.000 0.000 0.000
As 0.500 0.000 0.634
As 0.000 0.500 0.366
Pt 0.000 0.000 0.500
Pt 0.500 0.000 0.879
Pt 0.000 0.500 0.121
CELL_PARAMETERS angstrom
-1.798 2.305 3.330
-3.970 -0.282 -1.948
-1.869 -8.805 5.085

---

(9)
! PBE-GGA La2TiAs3Pt4, optimized geometry; values from VASP
! * symmetry: P-4m2, No. 115
! * ΔH_f (0 K): -0.95 eV/atom
! * M_tot: 0.00 Bohr magnetons per cell
&SYSTEM
  ibrav = 0, nat = 10, ntyp = 4
/
ATOMIC_SPECIES
La 138.91 La.upf
Ti 47.87 Ti.upf
As 74.92 As.upf
Pt 195.08 Pt.upf
ATOMIC_POSITIONS crystal
La 0.500 0.000 0.235
La 0.000 0.500 0.765
Ti 0.500 0.500 0.500
As 0.000 0.000 0.500
As 0.500 0.000 0.865
As 0.000 0.500 0.135
Pt 0.500 0.500 0.000
Pt 0.000 0.000 0.000
Pt 0.500 0.000 0.631
Pt 0.000 0.500 0.369
CELL_PARAMETERS angstrom
4.334 0.000 0.000
0.000 4.334 0.000
0.000 0.000 10.639

---

(10)
! PBE-GGA La2TmAs4Pt3, optimized geometry; values from VASP
! * symmetry: P-4m2, No. 115
! * ΔH_f (0 K): -1.04 eV/atom
! * M_tot: 0.00 Bohr magnetons per cell
&SYSTEM
  ibrav = 0, nat = 10, ntyp = 4
/
ATOMIC_SPECIES
La 138.91 La.upf
Tm 168.93 Tm.upf
As 74.92 As.upf
Pt 195.08 Pt.upf
ATOMIC_POSITIONS crystal
La 0.500 0.000 0.224
La 0.000 0.500 0.776
Tm 0.500 0.500 0.500
As 0.500 0.500 0.000
As 0.000 0.000 0.000
As 0.500 0.000 0.651
As 0.000 0.500 0.349
Pt 0.000 0.000 0.500
Pt 0.500 0.000 0.886
Pt 0.000 0.500 0.114
CELL_PARAMETERS angstrom
4.480 0.000 0.000
0.000 4.480 0.000
0.000 0.000 10.730

---

(11)
! PBE-GGA La2UAs4Pt3, optimized geometry; values from VASP
! * symmetry: P-4m2, No. 115
! * ΔH_f (0 K): -0.84 eV/atom
! * M_tot: 2.93 Bohr magnetons per cell
&SYSTEM
  ibrav = 0, nat = 10, ntyp = 4
/
ATOMIC_SPECIES
La 138.91 La.upf
U 238.03 U.upf
As 74.92 As.upf
Pt 195.08 Pt.upf
ATOMIC_POSITIONS crystal
La 0.500 0.000 0.224
La 0.000 0.500 0.776
U 0.500 0.500 0.500
As 0.500 0.500 0.000
As 0.000 0.000 0.000
As 0.500 0.000 0.661
As 0.000 0.500 0.339
Pt 0.000 0.000 0.500
Pt 0.500 0.000 0.890
Pt 0.000 0.500 0.110
CELL_PARAMETERS angstrom
4.472 0.000 0.000
0.000 4.472 0.000
0.000 0.000 10.968

---

(12)
! PBE-GGA LaVAsPt2, optimized geometry; values from VASP
! * symmetry: P4/mmm, No. 123
! * ΔH_f (0 K): 1.36 eV/atom
! * M_tot: 3.53 Bohr magnetons per cell
&SYSTEM
  ibrav = 0, nat = 5, ntyp = 4
/
ATOMIC_SPECIES
As 74.92 As.upf
V 50.94 V.upf
Pt 195.08 Pt.upf
La 138.91 La.upf
ATOMIC_POSITIONS crystal
As 0.500 0.500 0.500
V 0.000 0.500 0.000
Pt 0.000 0.000 0.500
Pt 0.500 0.000 0.000
La 0.000 0.000 0.000
CELL_PARAMETERS angstrom
5.128 0.000 0.000
0.000 5.208 0.000
0.000 0.000 5.128

---

> Which value of M_tot does entry 9 give?

0.00 Bohr magnetons per cell